[1]
La2MgCr after structural relaxation, computed with PBE-GGA.

a b c (Å): 5.122 3.589 12.654
angles (deg): 90.00 90.00 90.00
Space group Amm2 (No. 38)
Unique sites:
1 La 0.000 0.000 0.000 (multiplicity 2)
2 La 0.500 0.000 0.317 (multiplicity 2)
3 Mg 0.500 0.000 0.596 (multiplicity 2)
4 Cr 0.000 0.000 0.721 (multiplicity 2)

N(E_F)	1.124	states/eV per atom
crystal system	orthorhombic

---

[2]
La2MgCr after structural relaxation, computed with PBE-GGA.

a b c (Å): 5.417 5.417 3.933
angles (deg): 90.00 90.00 90.00
Space group P4/mmm (No. 123)
Unique sites:
1 La 0.000 0.500 0.000 (multiplicity 2)
2 Mg 0.000 0.000 0.500 (multiplicity 1)
3 Cr 0.500 0.500 0.500 (multiplicity 1)

N(E_F)	0.849	states/eV per atom
crystal system	tetragonal

---

[3]
LaMg14Cr after structural relaxation, computed with PBE-GGA.

a b c (Å): 10.417 6.316 11.532
angles (deg): 90.00 90.00 90.00
Space group Amm2 (No. 38)
Unique sites:
1 La 0.000 0.000 0.000 (multiplicity 2)
2 Mg 0.000 0.243 0.250 (multiplicity 4)
3 Mg 0.230 0.000 0.643 (multiplicity 4)
4 Mg 0.253 0.247 0.399 (multiplicity 8)
5 Mg 0.262 0.000 0.155 (multiplicity 4)
6 Mg 0.500 0.000 0.489 (multiplicity 2)
7 Mg 0.500 0.000 0.986 (multiplicity 2)
8 Mg 0.500 0.245 0.738 (multiplicity 4)
9 Cr 0.000 0.000 0.480 (multiplicity 2)

N(E_F)	0.501	states/eV per atom
relative energy among the computed polymorphs	0.0000	eV per atom
crystal system	orthorhombic

---

[4]
La3MgCr after structural relaxation, computed with PBE-GGA.

a b c (Å): 5.379 5.379 5.379
angles (deg): 90.00 90.00 90.00
Space group Pm-3m (No. 221)
Unique sites:
1 La 0.000 0.000 0.500 (multiplicity 3)
2 Mg 0.500 0.500 0.500 (multiplicity 1)
3 Cr 0.000 0.000 0.000 (multiplicity 1)

N(E_F)	1.321	states/eV per atom
relative energy among the computed polymorphs	0.0000	eV per atom
crystal system	cubic

---

[5]
La2MgCr after structural relaxation, computed with PBE-GGA.

a b c (Å): 7.148 3.395 9.808
angles (deg): 90.00 97.70 90.00
Space group C2/m (No. 12)
Unique sites:
1 La 0.247 0.000 0.212 (multiplicity 4)
2 Mg 0.000 0.000 0.500 (multiplicity 2)
3 Cr 0.000 0.500 0.000 (multiplicity 2)

N(E_F)	0.992	states/eV per atom
crystal system	monoclinic

---

[6]
La2MgCr after structural relaxation, computed with PBE-GGA.

a b c (Å): 3.705 3.705 8.141
angles (deg): 90.00 90.00 90.00
Space group P4mm (No. 99)
Unique sites:
1 La 0.000 0.000 0.000 (multiplicity 1)
2 La 0.500 0.500 0.315 (multiplicity 1)
3 Mg 0.000 0.000 0.592 (multiplicity 1)
4 Cr 0.500 0.500 0.768 (multiplicity 1)

N(E_F)	0.977	states/eV per atom
crystal system	tetragonal

---

[7]
LaMg3Cr after structural relaxation, computed with PBE-GGA.

a b c (Å): 5.135 5.135 5.135
angles (deg): 90.00 90.00 90.00
Space group Pm-3m (No. 221)
Unique sites:
1 La 0.000 0.000 0.000 (multiplicity 1)
2 Mg 0.000 0.500 0.500 (multiplicity 3)
3 Cr 0.500 0.500 0.500 (multiplicity 1)

N(E_F)	0.412	states/eV per atom
relative energy among the computed polymorphs	0.0000	eV per atom
crystal system	cubic

---

[8]
LaMg14Cr after structural relaxation, computed with PBE-GGA.

a b c (Å): 6.5300 6.5300 10.3305
angles (deg): 90.00 90.00 120.00
Space group P-6m2 (No. 187)
Unique sites:
1 La 0.0000 0.0000 0.0000 (multiplicity 1)
2 Mg 0.0165 0.5082 0.0000 (multiplicity 3)
3 Mg 0.1656 0.3313 0.2630 (multiplicity 6)
4 Mg 0.5026 0.0052 0.5000 (multiplicity 3)
5 Mg 0.6667 0.3333 0.2365 (multiplicity 2)
6 Cr 0.0000 0.0000 0.5000 (multiplicity 1)

N(E_F)	0.637	states/eV per atom
relative energy among the computed polymorphs	0.0074	eV per atom
crystal system	hexagonal

---

no.,formation energy from the elements (eV/atom)
1,0.265
2,0.188
3,0.079
4,0.241
5,0.376
6,0.278
7,0.362
8,0.086